# InFeIr2Au

Crystalline InFeIr2Au at its relaxed geometry (PBE-GGA, Alexandria via LeMat-Bulk).

Its total energy is -22.65 eV per cell. Its space group is P4/mmm, No. 123.

Lattice parameters (Å, degrees): 4.9639 4.9639 4.9078 90.00 90.00 90.00
Closest atoms and distances in Å follow each position.
Atoms (fractional coordinates):
In: 0.0000 0.0000 0.0000  2 Au 2.45
Fe: 0.5000 0.5000 0.0000  8 Ir 3.49, 4 In 3.51
Ir: 0.0000 0.5000 0.5000  2 Au 2.48
Ir: 0.5000 0.0000 0.5000  2 Au 2.48
Au: 0.0000 0.0000 0.5000  2 In 2.45, 4 Ir 2.48

=====

# BaHfN3

Crystalline BaHfN3 at its relaxed geometry (PBE-GGA, Alexandria via LeMat-Bulk).

Its total energy is -26.83 eV per cell. Its space group is Pm-3m, No. 221. As for the uncorrected formation energy: 10.03 eV/f.u.

Lattice parameters (Å, degrees): 4.3675 4.3675 4.3675 90.00 90.00 90.00
Closest atoms and distances in Å follow each position.
Atoms (fractional coordinates):
Ba: 0.0000 0.0000 0.0000  6 N 2.18
Hf: 0.5000 0.5000 0.5000  12 N 3.09
N: 0.0000 0.0000 0.5000  2 Ba 2.18
N: 0.0000 0.5000 0.0000  2 Ba 2.18
N: 0.5000 0.0000 0.0000  2 Ba 2.18

=====

# SrWS2N

Crystalline SrWS2N at its relaxed geometry (PBE-GGA, Alexandria via LeMat-Bulk).

Its total energy is -35.55 eV per cell. Its space group is P4/mmm, No. 123. As for the uncorrected formation energy: -4.34 eV/f.u.

Lattice parameters (Å, degrees): 4.8907 4.8907 3.9081 90.00 90.00 90.00
Closest atoms and distances in Å follow each position.
Atoms (fractional coordinates):
Sr: 0.0000 0.0000 0.0000  8 S 3.13, 4 N 3.46
W: 0.5000 0.5000 0.5000  2 N 1.95
S: 0.0000 0.5000 0.5000  2 W 2.45
S: 0.5000 0.0000 0.5000  2 W 2.45
N: 0.5000 0.5000 0.0000  2 W 1.95

=====

# BaLiCo

Crystalline BaLiCo at its relaxed geometry (PBE-GGA, Alexandria via LeMat-Bulk).

Its total energy is -19.82 eV per cell. Its space group is P1, No. 1.

Lattice parameters (Å, degrees): 4.3779 6.5215 6.5655 90.91 109.27 109.55
Closest atoms and distances in Å follow each position.
Atoms (fractional coordinates):
Ba: 0.0000 0.0000 0.0000  3 Co 3.22-3.36, 5 Li 3.42-3.60
Ba: 0.4814 0.5802 0.3760  3 Li 3.26-3.61, 4 Co 3.28
Li: 0.3081 0.0291 0.5807  3 Co 2.69-2.93, 1 Li 2.76
Li: 0.6406 0.4226 0.8568  4 Co 2.59-2.75, 1 Li 2.76
Co: 0.1979 0.6200 0.7730  1 Co 2.17
Co: 0.9472 0.2859 0.6037  1 Co 2.17

=====

Asked for DOS(E_F) across the records above, the calculation gives 2.02; 0.36; 0.20; 1.08 states/eV per atom in order.